# 1
Below is LaPm2AlO after structural relaxation, with properties calculated at the PBE-GGA level.

POSCAR file:
```
LaPm2AlO
1.0
4.914 0.000 0.000
0.000 4.914 0.000
0.000 0.000 4.992
La Pm Al O
1 2 1 1
Cartesian
0.000 0.000 0.000 La
0.000 2.457 2.496 Pm
2.457 0.000 2.496 Pm
2.457 2.457 0.000 Al
0.000 0.000 2.496 O
```

Properties
ΔE_f (raw) = -1332 meV/atom
symmetry = P4/mmm (123)

# 2
Below is K2AcSiS4 after structural relaxation, with properties calculated at the PBE-GGA level.

POSCAR file:
```
K2AcSiS4
1.0
7.798 0.000 0.000
0.000 7.798 0.000
0.000 0.000 8.241
K Ac Si S
4 2 2 8
Cartesian
0.000 0.000 0.000 K
0.000 3.899 2.060 K
3.899 0.000 6.180 K
3.899 3.899 4.120 K
0.000 0.000 4.120 Ac
3.899 3.899 0.000 Ac
0.000 3.899 6.180 Si
3.899 0.000 2.060 Si
1.163 2.576 4.944 S
1.323 5.062 7.417 S
2.576 6.635 3.297 S
2.736 1.323 0.823 S
5.062 6.475 0.823 S
5.222 1.163 3.297 S
6.475 2.736 7.417 S
6.635 5.222 4.944 S
```

Properties
ΔE_f (raw) = -1135 meV/atom
symmetry = I-4 (82)

# 3
Below is AlAg2Rh after structural relaxation, with properties calculated at the PBE-GGA level.

POSCAR file:
```
AlAg2Rh
1.0
3.833 0.000 0.000
0.000 3.833 0.000
0.000 0.000 4.305
Al Ag Rh
1 2 1
Cartesian
0.000 0.000 0.000 Al
0.000 1.917 2.152 Ag
1.917 0.000 2.152 Ag
1.917 1.917 0.000 Rh
```

Properties
formation enthalpy at 0 K = -226 meV per atom
symmetry = P4/mmm (123)

# 4
Below is SrCoPt2 after structural relaxation, with properties calculated at the PBE-GGA level.

POSCAR file:
```
SrCoPt2
1.0
3.679 0.000 0.000
0.000 4.581 0.000
0.000 0.000 9.002
Sr Co Pt
2 2 4
Cartesian
0.000 0.000 0.000 Sr
1.840 2.290 4.501 Sr
0.000 2.290 2.040 Co
1.840 0.000 6.541 Co
0.000 0.000 4.769 Pt
0.000 2.290 6.990 Pt
1.840 0.000 2.489 Pt
1.840 2.290 0.268 Pt
```

Properties
formation enthalpy at 0 K = 56 meV per atom
symmetry = Imm2 (44)

# 5
Below is TmHgPd6 after structural relaxation, with properties calculated at the PBE-GGA level.

POSCAR file:
```
TmHgPd6
1.0
8.345 0.000 0.000
0.000 5.380 0.000
-2.089 0.000 6.903
Tm Hg Pd
2 2 12
Cartesian
0.000 0.000 0.000 Tm
4.173 2.690 0.000 Tm
-1.045 2.690 3.451 Hg
3.128 0.000 3.451 Hg
0.250 0.000 3.012 Pd
0.041 1.300 5.539 Pd
0.041 4.080 5.539 Pd
2.043 1.390 1.363 Pd
2.043 3.990 1.363 Pd
1.833 2.690 3.891 Pd
4.423 2.690 3.012 Pd
4.213 1.390 5.539 Pd
4.213 3.990 5.539 Pd
6.215 1.300 1.363 Pd
6.215 4.080 1.363 Pd
6.006 0.000 3.891 Pd
```

Properties
energy above the lowest structure with this stoichiometry = 296.2 meV per atom
formation enthalpy at 0 K = -219 meV per atom
symmetry = C2/m (12)

# 6
Below is Re2PtAu after structural relaxation, with properties calculated at the PBE-GGA level.

POSCAR file:
```
Re2PtAu
1.0
2.794 0.000 0.000
-1.397 2.420 0.000
0.000 0.000 27.841
Re Pt Au
6 3 3
Cartesian
0.000 0.000 6.876 Re
0.000 0.000 20.965 Re
0.000 1.613 11.685 Re
0.000 1.613 25.436 Re
1.397 0.807 2.405 Re
1.397 0.807 16.156 Re
0.000 0.000 13.920 Pt
0.000 1.613 4.640 Pt
1.397 0.807 23.201 Pt
0.000 0.000 0.000 Au
0.000 1.613 18.561 Au
1.397 0.807 9.280 Au
```

Properties
energy above the lowest structure with this stoichiometry = 216.8 meV per atom
formation enthalpy at 0 K = 289 meV per atom
symmetry = R-3m (166)

# 7
Below is Zr2PbBr after structural relaxation, with properties calculated at the PBE-GGA level.

POSCAR file:
```
Zr2PbBr
1.0
4.456 0.000 0.000
0.000 4.456 0.000
0.000 0.000 20.757
Zr Pb Br
8 4 4
Cartesian
1.098 1.114 2.595 Zr
1.114 3.326 7.784 Zr
1.114 3.358 18.162 Zr
1.130 1.114 12.973 Zr
3.326 3.342 12.973 Zr
3.342 1.098 18.162 Zr
3.342 1.130 7.784 Zr
3.358 3.342 2.595 Zr
0.000 0.000 0.000 Pb
0.000 2.228 5.189 Pb
2.228 0.000 15.567 Pb
2.228 2.228 10.378 Pb
0.000 0.000 10.378 Br
0.000 2.228 15.567 Br
2.228 0.000 5.189 Br
2.228 2.228 0.000 Br
```

Properties
ΔE_f (raw) = 240 meV/atom
symmetry = I-42d (122)

# 8
Below is RbCa2CdNi after structural relaxation, with properties calculated at the PBE-GGA level.

POSCAR file:
```
RbCa2CdNi
1.0
5.552 0.000 0.000
0.000 5.552 0.000
0.000 0.000 5.358
Rb Ca Cd Ni
1 2 1 1
Cartesian
0.000 0.000 0.000 Rb
0.000 2.776 2.679 Ca
2.776 0.000 2.679 Ca
2.776 2.776 0.000 Cd
2.776 2.776 2.679 Ni
```

Properties
formation enthalpy at 0 K = 22 meV per atom
symmetry = P4/mmm (123)

# 9
Below is NaTl3Pb12 after structural relaxation, with properties calculated at the PBE-GGA level.

POSCAR file:
```
NaTl3Pb12
1.0
4.880 0.000 0.000
0.000 4.880 0.000
0.000 0.000 20.683
Na Tl Pb
1 3 12
Cartesian
0.000 0.000 0.000 Na
0.000 0.000 5.130 Tl
0.000 0.000 10.341 Tl
0.000 0.000 15.553 Tl
0.000 2.440 2.511 Pb
0.000 2.440 7.725 Pb
0.000 2.440 12.958 Pb
0.000 2.440 18.172 Pb
2.440 0.000 2.511 Pb
2.440 0.000 7.725 Pb
2.440 0.000 12.958 Pb
2.440 0.000 18.172 Pb
2.440 2.440 0.000 Pb
2.440 2.440 5.120 Pb
2.440 2.440 10.341 Pb
2.440 2.440 15.562 Pb
```

Properties
formation enthalpy at 0 K = -24 meV per atom
symmetry = P4/mmm (123)

# 10
Below is LaZn2Os after structural relaxation, with properties calculated at the PBE-GGA level.

POSCAR file:
```
LaZn2Os
1.0
5.533 0.000 0.000
0.000 7.994 0.000
0.000 0.000 3.432
La Zn Os
2 4 2
Cartesian
0.000 0.000 0.000 La
2.766 3.997 0.000 La
1.383 1.999 1.716 Zn
1.383 5.996 1.716 Zn
4.150 1.999 1.716 Zn
4.150 5.996 1.716 Zn
0.000 3.997 0.000 Os
2.766 0.000 0.000 Os
```

Properties
formation enthalpy at 0 K = 319 meV per atom
symmetry = Cmmm (65)

# 11
Below is Sr4U3CuAs8 after structural relaxation, with properties calculated at the PBE-GGA level.

POSCAR file:
```
Sr4U3CuAs8
1.0
4.203 2.427 7.056
-4.203 2.427 7.056
0.000 -4.854 7.056
Sr U Cu As
4 3 1 8
Cartesian
0.000 0.000 0.000 Sr
-2.102 -1.213 7.056 Sr
-2.102 1.213 14.111 Sr
0.000 2.427 7.056 Sr
-4.203 0.000 10.584 U
-2.102 1.213 3.528 U
2.102 1.213 3.528 U
0.000 0.000 10.584 Cu
-2.116 -1.222 12.054 As
0.000 0.000 5.054 As
0.000 -2.444 9.113 As
-2.116 1.222 9.113 As
2.116 -1.222 12.054 As
0.000 2.444 12.054 As
0.000 0.000 16.113 As
2.116 1.222 9.113 As
```

Properties
formation enthalpy at 0 K = -752 meV per atom
symmetry = R-3m (166)

# 12
Below is Ce4SnOs after structural relaxation, with properties calculated at the PBE-GGA level.

POSCAR file:
```
Ce4SnOs
1.0
4.336 -6.296 0.000
4.336 6.296 0.000
-1.994 0.000 5.609
Ce Sn Os
8 2 2
Cartesian
1.408 3.932 5.157 Ce
1.068 1.263 3.693 Ce
4.274 3.932 3.258 Ce
2.065 -1.263 0.889 Ce
4.614 1.263 4.721 Ce
2.405 -3.932 2.352 Ce
5.611 -1.263 1.916 Ce
5.271 -3.932 0.453 Ce
3.838 1.361 1.402 Sn
2.841 -1.361 4.207 Sn
3.838 6.259 1.402 Os
2.841 -6.259 4.207 Os
```

Properties
energy above the lowest structure with this stoichiometry = 0.0 meV per atom
formation enthalpy at 0 K = -320 meV per atom
symmetry = C2/c (15)

# 13
Below is Rb2SbPdI6 after structural relaxation, with properties calculated at the PBE-GGA level.

POSCAR file:
```
Rb2SbPdI6
1.0
-4.172 4.172 5.877
4.172 -4.172 5.877
4.172 4.172 -5.877
Rb Sb Pd I
2 1 1 6
Cartesian
4.172 0.000 2.939 Rb
0.000 4.172 2.939 Rb
0.000 0.000 0.000 Sb
0.000 0.000 5.877 Pd
0.000 0.000 3.036 I
2.154 2.154 0.000 I
2.018 -2.018 5.877 I
-2.018 2.018 5.877 I
0.000 0.000 8.718 I
2.018 2.018 5.877 I
```

Properties
ΔE_f (raw) = -725 meV/atom
symmetry = I4/mmm (139)

# 14
Below is Nd2Si4Pt3Au after structural relaxation, with properties calculated at the PBE-GGA level.

POSCAR file:
```
Nd2Si4Pt3Au
1.0
4.299 0.000 0.000
0.000 4.299 0.000
0.000 0.000 9.917
Nd Si Pt Au
2 4 3 1
Cartesian
0.000 2.150 2.427 Nd
2.150 0.000 7.490 Nd
0.000 0.000 0.000 Si
0.000 2.150 6.331 Si
2.150 0.000 3.586 Si
2.150 2.150 0.000 Si
0.000 2.150 8.752 Pt
2.150 0.000 1.165 Pt
2.150 2.150 4.958 Pt
0.000 0.000 4.958 Au
```

Properties
ΔE_f (raw) = -1007 meV/atom
symmetry = P-4m2 (115)

# 15
Below is ScTa2Re after structural relaxation, with properties calculated at the PBE-GGA level.

POSCAR file:
```
ScTa2Re
1.0
3.267 0.000 0.000
0.000 4.741 0.000
0.000 0.000 9.420
Sc Ta Re
2 4 2
Cartesian
0.000 0.000 0.000 Sc
1.634 2.370 0.000 Sc
0.000 2.370 2.566 Ta
0.000 2.370 6.854 Ta
1.634 0.000 2.566 Ta
1.634 0.000 6.854 Ta
0.000 0.000 4.710 Re
1.634 2.370 4.710 Re
```

Properties
energy above the lowest structure with this stoichiometry = 147.7 meV per atom
formation enthalpy at 0 K = 52 meV per atom
symmetry = Cmmm (65)

# 16
Below is Pm2InGe4Rh3 after structural relaxation, with properties calculated at the PBE-GGA level.

POSCAR file:
```
Pm2InGe4Rh3
1.0
4.293 0.000 0.000
0.000 4.293 0.000
0.000 0.000 10.521
Pm In Ge Rh
2 1 4 3
Cartesian
0.000 2.147 2.461 Pm
2.147 0.000 8.061 Pm
0.000 0.000 5.261 In
0.000 0.000 0.000 Ge
0.000 2.147 6.887 Ge
2.147 0.000 3.635 Ge
2.147 2.147 0.000 Ge
0.000 2.147 9.294 Rh
2.147 0.000 1.228 Rh
2.147 2.147 5.261 Rh
```

Properties
formation enthalpy at 0 K = -722 meV per atom
symmetry = P-4m2 (115)

# 17
Below is NiAuS2 after structural relaxation, with properties calculated at the PBE-GGA level.

POSCAR file:
```
NiAuS2
1.0
6.233 0.000 0.000
0.000 6.233 0.000
0.000 0.000 6.396
Ni Au S
4 4 8
Cartesian
0.000 0.000 1.599 Ni
0.000 0.000 4.797 Ni
3.116 3.116 1.599 Ni
3.116 3.116 4.797 Ni
0.000 3.116 1.599 Au
0.000 3.116 4.797 Au
3.116 0.000 1.599 Au
3.116 0.000 4.797 Au
1.428 1.688 0.000 S
1.428 4.545 3.198 S
1.688 1.428 3.198 S
1.688 4.805 0.000 S
4.545 1.428 0.000 S
4.545 4.805 3.198 S
4.805 1.688 3.198 S
4.805 4.545 0.000 S
```

Properties
ΔE_f (raw) = 537 meV/atom
symmetry = I4/mcm (140)

# 18
Below is Sr2CaAc2 after structural relaxation, with properties calculated at the PBE-GGA level.

POSCAR file:
```
Sr2CaAc2
1.0
4.074 0.000 0.000
0.000 4.074 0.000
0.000 0.000 28.901
Sr Ca Ac
4 2 4
Cartesian
0.000 0.000 2.898 Sr
0.000 0.000 26.003 Sr
2.037 2.037 11.553 Sr
2.037 2.037 17.348 Sr
0.000 0.000 14.451 Ca
2.037 2.037 0.000 Ca
0.000 0.000 8.529 Ac
0.000 0.000 20.372 Ac
2.037 2.037 5.922 Ac
2.037 2.037 22.979 Ac
```

Properties
energy above the lowest structure with this stoichiometry = 0.0 meV per atom
formation enthalpy at 0 K = 25 meV per atom
symmetry = I4/mmm (139)

# 19
Below is HfTa2W after structural relaxation, with properties calculated at the PBE-GGA level.

POSCAR file:
```
HfTa2W
1.0
4.686 0.000 0.000
0.000 4.686 0.000
0.000 0.000 3.335
Hf Ta W
1 2 1
Cartesian
0.000 0.000 0.000 Hf
0.000 2.343 1.668 Ta
2.343 0.000 1.668 Ta
2.343 2.343 0.000 W
```

Properties
energy above the lowest structure with this stoichiometry = 61.7 meV per atom
formation enthalpy at 0 K = 90 meV per atom
symmetry = P4/mmm (123)

# 20
Below is Ba2InTcN after structural relaxation, with properties calculated at the PBE-GGA level.

POSCAR file:
```
Ba2InTcN
1.0
5.914 0.000 0.000
0.000 5.914 0.000
0.000 0.000 3.914
Ba In Tc N
2 1 1 1
Cartesian
0.000 2.957 0.000 Ba
2.957 0.000 0.000 Ba
0.000 0.000 1.957 In
2.957 2.957 1.957 Tc
2.957 2.957 0.000 N
```

Properties
ΔE_f (raw) = -178 meV/atom
symmetry = P4/mmm (123)

# 21
Below is Tb7Dy12Y after structural relaxation, with properties calculated at the PBE-GGA level.

POSCAR file:
```
Tb7Dy12Y
1.0
-5.622 5.622 5.622
5.622 -5.622 5.622
5.622 5.622 -5.622
Tb Dy Y
7 12 1
Cartesian
2.811 2.811 -2.811 Tb
2.811 -2.811 2.811 Tb
5.622 0.000 0.000 Tb
-2.811 2.811 2.811 Tb
0.000 5.622 0.000 Tb
0.000 0.000 5.622 Tb
2.811 2.811 2.811 Tb
5.622 2.813 -2.805 Dy
2.817 0.000 2.809 Dy
8.427 0.000 2.809 Dy
2.809 2.817 0.000 Dy
2.813 -2.805 5.622 Dy
0.000 2.809 2.817 Dy
5.622 2.813 2.805 Dy
2.809 8.427 0.000 Dy
2.813 2.805 5.622 Dy
-2.805 5.622 2.813 Dy
2.805 5.622 2.813 Dy
0.000 2.809 8.427 Dy
0.000 0.000 0.000 Y
```

Properties
energy above the lowest structure with this stoichiometry = 455.1 meV per atom
formation enthalpy at 0 K = 696 meV per atom
symmetry = Im-3 (204)

# 22
Below is OsRh2Br after structural relaxation, with properties calculated at the PBE-GGA level.

POSCAR file:
```
OsRh2Br
1.0
2.772 0.000 0.000
0.000 4.914 0.000
0.000 0.000 9.533
Os Rh Br
2 4 2
Cartesian
0.000 0.000 0.000 Os
1.386 2.457 0.000 Os
0.000 2.457 2.224 Rh
0.000 2.457 7.308 Rh
1.386 0.000 2.224 Rh
1.386 0.000 7.308 Rh
0.000 0.000 4.766 Br
1.386 2.457 4.766 Br
```

Properties
ΔE_f (raw) = 677 meV/atom
energy above the lowest structure with this stoichiometry = 206.9 meV per atom
symmetry = Cmmm (65)

# 23
Below is Co2IrPtN after structural relaxation, with properties calculated at the PBE-GGA level.

POSCAR file:
```
Co2IrPtN
1.0
3.881 0.000 0.000
0.000 3.881 0.000
0.000 0.000 3.990
Co Ir Pt N
2 1 1 1
Cartesian
0.000 1.941 0.000 Co
1.941 0.000 0.000 Co
0.000 0.000 1.995 Ir
1.941 1.941 1.995 Pt
0.000 0.000 0.000 N
```

Properties
ΔE_f (raw) = 181 meV/atom
symmetry = P4/mmm (123)

# 24
Below is HfGa2Hg2 after structural relaxation, with properties calculated at the PBE-GGA level.

POSCAR file:
```
HfGa2Hg2
1.0
7.885 0.000 0.000
0.000 7.885 0.000
0.000 0.000 3.351
Hf Ga Hg
2 4 4
Cartesian
0.000 0.000 0.000 Hf
3.943 3.943 0.000 Hf
1.375 2.568 1.675 Ga
2.568 6.510 1.675 Ga
5.317 1.375 1.675 Ga
6.510 5.317 1.675 Ga
1.035 4.977 0.000 Hg
2.908 1.035 0.000 Hg
4.977 6.850 0.000 Hg
6.850 2.908 0.000 Hg
```

Properties
energy above the lowest structure with this stoichiometry = 58.1 meV per atom
formation enthalpy at 0 K = 159 meV per atom
symmetry = P4/mbm (127)

# 25
Below is AcTbPr2S4 after structural relaxation, with properties calculated at the PBE-GGA level.

POSCAR file:
```
AcTbPr2S4
1.0
7.107 0.000 0.000
0.000 4.071 0.000
-2.338 0.000 6.829
Ac Tb Pr S
1 1 2 4
Cartesian
0.000 0.000 0.000 Ac
-1.169 2.035 3.414 Tb
2.385 0.000 3.414 Pr
3.553 2.035 0.000 Pr
-0.003 0.000 5.009 S
1.168 2.035 1.807 S
3.601 2.035 5.021 S
4.772 0.000 1.820 S
```

Properties
ΔE_f (raw) = -1990 meV/atom
symmetry = P2/m (10)